No. 1
A plane-wave DFT calculation with PBE was carried out for LiSb after structural relaxation.

- Calculated volume: 21.66 A^3/atom
- Energy above the lowest structure with this stoichiometry: 0 meV/atom
- Uncorrected energy: -6.9 eV per formula unit
- Space-group type: Cmmm, No. 65
- Total magnetization: 0.000 μB/atom

```
LiSb
1.0
4.384 0.000 0.000
0.000 4.618 0.000
0.000 0.000 4.280
Li Sb
2 2
Direct
0.000 0.000 0.000
0.500 0.500 0.000
0.000 0.500 0.500
0.500 0.000 0.500
```


No. 2
A plane-wave DFT calculation with PBE was carried out for LiSb after structural relaxation.

- Calculated volume: 24.17 A^3/atom
- Energy above the lowest structure with this stoichiometry: 172 meV/atom
- Uncorrected energy: -6.5 eV per formula unit
- Space-group type: Cm, No. 8
- Total magnetization: 0.000 μB/atom

```
LiSb
1.0
11.577 0.000 0.000
0.000 3.144 0.000
-3.530 0.000 7.968
Li Sb
6 6
Direct
0.000 0.000 0.000
0.073 0.500 0.652
0.287 0.000 0.035
0.500 0.500 0.000
0.573 0.000 0.652
0.787 0.500 0.035
0.197 0.500 0.253
0.318 0.000 0.730
0.462 0.500 0.329
0.697 0.000 0.253
0.818 0.500 0.730
0.962 0.000 0.329
```


No. 3
A plane-wave DFT calculation with PBE was carried out for Li4Sb after structural relaxation.

- Calculated volume: 20.41 A^3/atom
- Energy above the lowest structure with this stoichiometry: 38 meV/atom
- Uncorrected energy: -13.8 eV per formula unit
- Space-group type: P2_1/c, No. 14
- Total magnetization: 0.000 μB/atom

```
Li4Sb
1.0
4.908 0.000 0.000
0.000 5.089 0.000
-0.041 0.000 8.173
Li Sb
8 2
Direct
0.000 0.024 0.165
0.000 0.476 0.665
0.000 0.524 0.335
0.000 0.976 0.835
0.499 0.213 0.394
0.499 0.287 0.894
0.501 0.713 0.106
0.501 0.787 0.606
0.000 0.000 0.500
0.000 0.500 0.000
```


No. 4
A plane-wave DFT calculation with PBE was carried out for Li4Sb after structural relaxation.

- Calculated volume: 18.18 A^3/atom
- Energy above the lowest structure with this stoichiometry: 0 meV/atom
- Uncorrected energy: -13.9 eV per formula unit
- Space-group type: I4/m, No. 87
- Total magnetization: 0.000 μB/atom

```
Li4Sb
1.0
6.407 0.000 0.000
0.000 6.407 0.000
0.000 0.000 4.429
Li Sb
8 2
Direct
0.110 0.289 0.000
0.211 0.610 0.500
0.289 0.890 0.000
0.390 0.211 0.500
0.610 0.789 0.500
0.711 0.110 0.000
0.789 0.390 0.500
0.890 0.711 0.000
0.000 0.000 0.500
0.500 0.500 0.000
```


No. 5
A plane-wave DFT calculation with PBE was carried out for Li4Sb after structural relaxation.

- Calculated volume: 24.99 A^3/atom
- Energy above the lowest structure with this stoichiometry: 158 meV/atom
- Uncorrected energy: -13.2 eV per formula unit
- Space-group type: Im-3m, No. 229
- Total magnetization: 0.045 μB/atom

```
Li4Sb
1.0
6.299 0.000 0.000
0.000 6.299 0.000
0.000 0.000 6.299
Li Sb
8 2
Direct
0.250 0.250 0.250
0.250 0.250 0.750
0.250 0.750 0.250
0.250 0.750 0.750
0.750 0.250 0.250
0.750 0.250 0.750
0.750 0.750 0.250
0.750 0.750 0.750
0.000 0.000 0.000
0.500 0.500 0.500
```


No. 6
A plane-wave DFT calculation with PBE was carried out for LiSb8 after structural relaxation.

- Calculated volume: 26.41 A^3/atom
- Uncorrected energy: -33.9 eV per formula unit
- Space-group type: I4/mmm, No. 139
- Total magnetization: 0.000 μB/atom

```
LiSb8
1.0
-5.510 5.510 1.957
5.510 -5.510 1.957
5.510 5.510 -1.957
Li Sb
1 8
Direct
0.000 0.000 0.000
0.000 0.323 0.323
0.000 0.677 0.677
0.323 0.000 0.323
0.350 0.350 0.699
0.350 0.650 0.000
0.650 0.350 0.000
0.650 0.650 0.301
0.677 0.000 0.677
```